[1]
# PBE-GGA LiGa2Pb, optimized geometry
data_LiGa2Pb
_chemical_formula_sum 'Li1 Ga2 Pb1'
_cell_length_a 3.3680
_cell_length_b 3.3680
_cell_length_c 7.4411
_cell_angle_alpha 90.00
_cell_angle_beta 90.00
_cell_angle_gamma 90.00
_space_group_name_H-M_alt 'P 1'
_space_group_IT_number 1
_space_group_name_Hall 'P 1'
loop_
_atom_site_label
_atom_site_type_symbol
_atom_site_fract_x
_atom_site_fract_y
_atom_site_fract_z
Li1 Li 0.5000 0.5000 0.0000
Ga1 Ga 0.0000 0.0000 0.8048
Ga2 Ga 0.0000 0.0000 0.1952
Pb1 Pb 0.5000 0.5000 0.5000
# - Calculated density: 6.96 g/cm3
# - Energy relative to the elements: -58 meV per atom

[2]
# PBE-GGA TbPm8Ho6, optimized geometry
data_TbPm8Ho6
_chemical_formula_sum 'Tb1 Pm8 Ho6'
_cell_length_a 6.5317
_cell_length_b 9.4147
_cell_length_c 9.4147
_cell_angle_alpha 120.00
_cell_angle_beta 90.00
_cell_angle_gamma 90.00
_space_group_name_H-M_alt 'P 1'
_space_group_IT_number 1
_space_group_name_Hall 'P 1'
loop_
_atom_site_label
_atom_site_type_symbol
_atom_site_fract_x
_atom_site_fract_y
_atom_site_fract_z
Ho1 Ho 0.3398 0.5611 0.6548
Pm1 Pm 0.1221 0.6667 0.3333
Pm2 Pm 0.1675 0.2858 0.2495
Ho2 Ho 0.6602 0.4389 0.3452
Ho3 Ho 0.3398 0.3452 0.9063
Ho4 Ho 0.6602 0.9063 0.5611
Pm3 Pm 0.8779 0.3333 0.6667
Ho5 Ho 0.6602 0.6548 0.0937
Pm4 Pm 0.8325 0.2495 0.9637
Tb1 Tb 0.5000 0.0000 0.0000
Pm5 Pm 0.1675 0.7505 0.0363
Pm6 Pm 0.8325 0.7142 0.7505
Pm7 Pm 0.1675 0.9637 0.7142
Pm8 Pm 0.8325 0.0363 0.2858
Ho6 Ho 0.3398 0.0937 0.4389
# - Calculated density: 7.65 g/cm3
# - Energy relative to the elements: 178 meV per atom

[3]
# PBE-GGA AlInFe3, optimized geometry
data_AlInFe3
_chemical_formula_sum 'Al1 In1 Fe3'
_cell_length_a 4.3712
_cell_length_b 4.3712
_cell_length_c 4.3712
_cell_angle_alpha 90.00
_cell_angle_beta 90.00
_cell_angle_gamma 90.00
_space_group_name_H-M_alt 'P 1'
_space_group_IT_number 1
_space_group_name_Hall 'P 1'
loop_
_atom_site_label
_atom_site_type_symbol
_atom_site_fract_x
_atom_site_fract_y
_atom_site_fract_z
Al1 Al 0.0000 0.0000 0.0000
Fe1 Fe 0.0000 0.0000 0.5000
Fe2 Fe 0.0000 0.5000 0.0000
In1 In 0.5000 0.5000 0.5000
Fe3 Fe 0.5000 0.0000 0.0000
# - Calculated density: 6.15 g/cm3
# - Distance to the lowest polymorph of the same formula: 0 meV/atom
# - Energy relative to the elements: 839 meV per atom

[4]
# PBE-GGA Ho6P2PtS3, optimized geometry
data_Ho6P2PtS3
_chemical_formula_sum 'Ho6 P2 Pt1 S3'
_cell_length_a 3.9328
_cell_length_b 7.9740
_cell_length_c 8.8820
_cell_angle_alpha 103.16
_cell_angle_beta 102.79
_cell_angle_gamma 90.00
_space_group_name_H-M_alt 'P 1'
_space_group_IT_number 1
_space_group_name_Hall 'P 1'
loop_
_atom_site_label
_atom_site_type_symbol
_atom_site_fract_x
_atom_site_fract_y
_atom_site_fract_z
P1 P 0.1667 0.3343 0.3334
Pt1 Pt 0.5000 0.0000 0.0000
Ho1 Ho 0.6679 0.0896 0.3357
P2 P 0.8333 0.6657 0.6666
Ho2 Ho 0.6693 0.5787 0.3386
Ho3 Ho 0.3321 0.9104 0.6643
Ho4 Ho 0.3307 0.4213 0.6614
S1 S 0.1687 0.8322 0.3375
S2 S 0.5000 0.5000 0.0000
Ho5 Ho 0.0012 0.2505 0.0024
S3 S 0.8313 0.1678 0.6625
Ho6 Ho 0.9988 0.7495 0.9976
# - Electronic total energy: -6.47 eV per atom
# - Calculated density: 8.44 g/cm3

[5]
# PBE-GGA Mg2TeMo, optimized geometry
data_Mg2TeMo
_chemical_formula_sum 'Mg4 Te2 Mo2'
_cell_length_a 8.0100
_cell_length_b 8.0100
_cell_length_c 6.3333
_cell_angle_alpha 50.78
_cell_angle_beta 50.78
_cell_angle_gamma 90.00
_space_group_name_H-M_alt 'P 1'
_space_group_IT_number 1
_space_group_name_Hall 'P 1'
loop_
_atom_site_label
_atom_site_type_symbol
_atom_site_fract_x
_atom_site_fract_y
_atom_site_fract_z
Te1 Te 0.7500 0.2500 0.5000
Mg1 Mg 0.3750 0.3725 0.7500
Mg2 Mg 0.1225 0.6250 0.2500
Mg3 Mg 0.6275 0.1250 0.2500
Mg4 Mg 0.8750 0.8775 0.7500
Mo1 Mo 0.2500 0.7500 0.5000
Mo2 Mo 0.5000 0.5000 0.0000
Te2 Te 0.0000 0.0000 0.0000
# - Electronic total energy: -3.74 eV per atom
# - Calculated density: 4.97 g/cm3

[6]
# PBE-GGA Mg4AsAu, optimized geometry
data_Mg4AsAu
_chemical_formula_sum 'Mg4 As1 Au1'
_cell_length_a 5.6322
_cell_length_b 5.6322
_cell_length_c 5.6322
_cell_angle_alpha 60.00
_cell_angle_beta 60.00
_cell_angle_gamma 60.00
_space_group_name_H-M_alt 'P 1'
_space_group_IT_number 1
_space_group_name_Hall 'P 1'
loop_
_atom_site_label
_atom_site_type_symbol
_atom_site_fract_x
_atom_site_fract_y
_atom_site_fract_z
Mg1 Mg 0.3753 0.8742 0.3753
Au1 Au 0.0000 0.0000 0.0000
As1 As 0.7500 0.7500 0.7500
Mg2 Mg 0.8742 0.3753 0.3753
Mg3 Mg 0.3753 0.3753 0.8742
Mg4 Mg 0.3753 0.3753 0.3753
# - Calculated density: 4.85 g/cm3
# - Energy relative to the elements: 72 meV per atom

[7]
# PBE-GGA Nd7TmAl4, optimized geometry
data_Nd7TmAl4
_chemical_formula_sum 'Nd7 Tm1 Al4'
_cell_length_a 5.6587
_cell_length_b 9.3376
_cell_length_c 7.6096
_cell_angle_alpha 77.50
_cell_angle_beta 68.17
_cell_angle_gamma 72.36
_space_group_name_H-M_alt 'P 1'
_space_group_IT_number 1
_space_group_name_Hall 'P 1'
loop_
_atom_site_label
_atom_site_type_symbol
_atom_site_fract_x
_atom_site_fract_y
_atom_site_fract_z
Nd1 Nd 0.7944 0.8812 0.5300
Nd2 Nd 0.2932 0.6500 0.7636
Al1 Al 0.5517 0.2409 0.6558
Tm1 Tm 0.0000 0.0000 0.0000
Nd3 Nd 0.9342 0.3861 0.7454
Al2 Al 0.4483 0.7591 0.3442
Nd4 Nd 0.2056 0.1188 0.4700
Al3 Al 0.3257 0.3313 0.0173
Nd5 Nd 0.0658 0.6139 0.2546
Nd6 Nd 0.5000 0.0000 0.0000
Nd7 Nd 0.7068 0.3500 0.2364
Al4 Al 0.6743 0.6687 0.9827
# - Calculated density: 6.05 g/cm3
# - Energy relative to the elements: -65 meV per atom

[8]
# PBE-GGA ZrReRh2, optimized geometry
data_ZrReRh2
_chemical_formula_sum 'Zr1 Re1 Rh2'
_cell_length_a 2.8442
_cell_length_b 2.8442
_cell_length_c 7.8815
_cell_angle_alpha 90.00
_cell_angle_beta 90.00
_cell_angle_gamma 90.00
_space_group_name_H-M_alt 'P 1'
_space_group_IT_number 1
_space_group_name_Hall 'P 1'
loop_
_atom_site_label
_atom_site_type_symbol
_atom_site_fract_x
_atom_site_fract_y
_atom_site_fract_z
Re1 Re 0.5000 0.5000 0.7500
Rh1 Rh 0.0000 0.0000 0.5198
Zr1 Zr 0.5000 0.5000 0.2500
Rh2 Rh 0.0000 0.0000 0.9802
# - Calculated density: 12.59 g/cm3
# - Distance to the lowest polymorph of the same formula: 59 meV/atom
# - Energy relative to the elements: -282 meV per atom

[9]
# PBE-GGA Ho8Tm, optimized geometry
data_Ho8Tm
_chemical_formula_sum 'Ho8 Tm1'
_cell_length_a 4.9581
_cell_length_b 7.8553
_cell_length_c 7.8553
_cell_angle_alpha 84.28
_cell_angle_beta 71.60
_cell_angle_gamma 71.60
_space_group_name_H-M_alt 'P 1'
_space_group_IT_number 1
_space_group_name_Hall 'P 1'
loop_
_atom_site_label
_atom_site_type_symbol
_atom_site_fract_x
_atom_site_fract_y
_atom_site_fract_z
Ho1 Ho 0.0000 0.6669 0.3331
Ho2 Ho 0.6665 0.6670 0.0000
Ho3 Ho 0.3335 0.3330 0.0000
Ho4 Ho 0.0000 0.3331 0.6669
Ho5 Ho 0.3331 0.6669 0.6669
Tm1 Tm 0.0000 0.0000 0.0000
Ho6 Ho 0.6669 0.3331 0.3331
Ho7 Ho 0.3335 0.0000 0.3330
Ho8 Ho 0.6665 0.0000 0.6670
# - Calculated density: 8.97 g/cm3
# - Energy relative to the elements: 22 meV per atom

[10]
# PBE-GGA Ba2CrOs, optimized geometry
data_Ba2CrOs
_chemical_formula_sum 'Ba2 Cr1 Os1'
_cell_length_a 3.7102
_cell_length_b 3.3047
_cell_length_c 10.6772
_cell_angle_alpha 64.19
_cell_angle_beta 90.00
_cell_angle_gamma 90.00
_space_group_name_H-M_alt 'P 1'
_space_group_IT_number 1
_space_group_name_Hall 'P 1'
loop_
_atom_site_label
_atom_site_type_symbol
_atom_site_fract_x
_atom_site_fract_y
_atom_site_fract_z
Ba1 Ba 0.0000 0.9565 0.9184
Ba2 Ba 0.5000 0.3470 0.3320
Os1 Os 0.5000 0.7785 0.6584
Cr1 Cr 0.0000 0.4180 0.5912
# - Calculated density: 7.28 g/cm3
# - Distance to the lowest polymorph of the same formula: 266 meV/atom
# - Energy relative to the elements: 643 meV per atom

[11]
# PBE-GGA Rb2TlI6O, optimized geometry
data_Rb2TlI6O
_chemical_formula_sum 'Rb2 Tl1 I6 O1'
_cell_length_a 8.3375
_cell_length_b 8.3375
_cell_length_c 8.1599
_cell_angle_alpha 59.28
_cell_angle_beta 59.28
_cell_angle_gamma 90.00
_space_group_name_H-M_alt 'P 1'
_space_group_IT_number 1
_space_group_name_Hall 'P 1'
loop_
_atom_site_label
_atom_site_type_symbol
_atom_site_fract_x
_atom_site_fract_y
_atom_site_fract_z
I1 I 0.7489 0.7489 0.0000
I2 I 0.2511 0.2511 0.0000
Rb1 Rb 0.7500 0.2500 0.5000
Rb2 Rb 0.2500 0.7500 0.5000
I3 I 0.7489 0.2511 0.0000
O1 O 0.5000 0.5000 0.0000
Tl1 Tl 0.0000 0.0000 0.0000
I4 I 0.2511 0.7489 0.0000
I5 I 0.2890 0.2890 0.4221
I6 I 0.7110 0.7110 0.5779
# - Electronic total energy: -2.36 eV per atom
# - Calculated density: 4.88 g/cm3

[12]
# PBE-GGA Rb2GaReN, optimized geometry
data_Rb2GaReN
_chemical_formula_sum 'Rb2 Ga1 Re1 N1'
_cell_length_a 6.9366
_cell_length_b 3.7812
_cell_length_c 6.9366
_cell_angle_alpha 90.00
_cell_angle_beta 90.00
_cell_angle_gamma 90.00
_space_group_name_H-M_alt 'P 1'
_space_group_IT_number 1
_space_group_name_Hall 'P 1'
loop_
_atom_site_label
_atom_site_type_symbol
_atom_site_fract_x
_atom_site_fract_y
_atom_site_fract_z
N1 N 0.0000 0.5000 0.0000
Rb1 Rb 0.0000 0.0000 0.5000
Ga1 Ga 0.5000 0.5000 0.5000
Re1 Re 0.0000 0.0000 0.0000
Rb2 Rb 0.5000 0.0000 0.0000
# - Electronic total energy: -4.38 eV per atom
# - Calculated density: 4.02 g/cm3